Record 1
VASP calculation (PBE+U) on a relaxed LiCrP2O7 crystal. Values from VASP.

Quantum ESPRESSO input file:
```
&SYSTEM
  ibrav = 0, nat = 44, ntyp = 4
/
ATOMIC_SPECIES
O 16.00 O.upf
Li 6.94 Li.upf
P 30.97 P.upf
Cr 52.00 Cr.upf
ATOMIC_POSITIONS crystal
O 0.1195 0.1987 0.5806
O 0.6427 0.2335 0.7639
O 0.3257 0.9578 0.5000
O 0.4213 0.2869 0.5948
O 0.8695 0.9673 0.6657
O 0.1743 0.9578 0.0000
O 0.9213 0.7131 0.9052
O 0.7371 0.5368 0.5737
O 0.5787 0.7131 0.4052
O 0.4366 0.1901 0.2657
O 0.7629 0.5368 0.0737
O 0.2629 0.4632 0.4263
O 0.1305 0.0327 0.3343
O 0.6195 0.8013 0.9194
O 0.1427 0.7665 0.7361
O 0.3805 0.1987 0.0806
O 0.3695 0.0327 0.8343
O 0.0787 0.2869 0.0948
O 0.0634 0.1901 0.7657
O 0.6743 0.0422 0.5000
O 0.2371 0.4632 0.9263
O 0.5634 0.8099 0.7343
O 0.3573 0.7665 0.2361
O 0.9366 0.8099 0.2343
O 0.8805 0.8013 0.4194
O 0.6305 0.9673 0.1657
O 0.8573 0.2335 0.2639
O 0.8257 0.0422 0.0000
Li 0.2572 0.4157 0.7791
Li 0.2428 0.4157 0.2791
Li 0.7572 0.5843 0.7209
Li 0.7428 0.5843 0.2209
P 0.7045 0.7746 0.4774
P 0.4545 0.0287 0.1873
P 0.9545 0.9713 0.3127
P 0.2045 0.2254 0.0226
P 0.7955 0.7746 0.9774
P 0.2955 0.2254 0.5226
P 0.0455 0.0287 0.6873
P 0.5455 0.9713 0.8127
Cr 0.6522 0.1565 0.6246
Cr 0.8478 0.1565 0.1246
Cr 0.3478 0.8435 0.3754
Cr 0.1522 0.8435 0.8754
CELL_PARAMETERS angstrom
-4.5517 2.3424 -6.3777
3.8644 -1.2146 -3.2041
-1.7141 -13.1550 -3.6083
```

## Properties
total magnetization = 11.997 Bohr magnetons per cell
ΔE to the lowest computed polymorph = 40 meV per atom
crystal system = monoclinic

***

Record 2
VASP calculation (PBE+U) on a relaxed LiCrP4O12 crystal. Values from VASP.

Quantum ESPRESSO input file:
```
&SYSTEM
  ibrav = 0, nat = 36, ntyp = 4
/
ATOMIC_SPECIES
O 16.00 O.upf
P 30.97 P.upf
Cr 52.00 Cr.upf
Li 6.94 Li.upf
ATOMIC_POSITIONS crystal
O 0.2644 0.6017 0.4138
O 0.4111 0.6780 0.6723
O 0.7441 0.0035 0.5160
O 0.2572 0.0077 0.5148
O 0.1564 0.0967 0.8393
O 0.3332 0.6241 0.0133
O 0.6244 0.8496 0.8386
O 0.9053 0.8529 0.6863
O 0.1293 0.8861 0.2611
O 0.0077 0.2572 0.0148
O 0.8529 0.9053 0.1863
O 0.6241 0.3332 0.5133
O 0.0967 0.1564 0.3393
O 0.0035 0.7441 0.0160
O 0.6780 0.4111 0.1723
O 0.3826 0.1754 0.1973
O 0.6017 0.2644 0.9138
O 0.9106 0.3609 0.3162
O 0.1754 0.3826 0.6973
O 0.3609 0.9106 0.8162
O 0.8496 0.6244 0.3386
O 0.6434 0.0984 0.2003
O 0.0984 0.6434 0.7003
O 0.8861 0.1293 0.7611
P 0.2119 0.0578 0.3405
P 0.5854 0.2301 0.1087
P 0.4182 0.7604 0.8493
P 0.2301 0.5854 0.6087
P 0.9558 0.7961 0.1864
P 0.0578 0.2119 0.8405
P 0.7604 0.4182 0.3493
P 0.7961 0.9558 0.6864
Cr 0.8702 0.1239 0.2628
Cr 0.1239 0.8702 0.7628
Li 0.1800 0.4908 0.2306
Li 0.4908 0.1800 0.7306
CELL_PARAMETERS angstrom
-1.1056 0.3311 8.4372
-0.2738 -7.9441 -3.0553
7.1212 -2.2103 2.1070
```

## Properties
total magnetization = 5.909 Bohr magnetons per cell
ΔE to the lowest computed polymorph = 20 meV per atom
crystal system = monoclinic

***

Record 3
VASP calculation (PBE+U) on a relaxed LiCrP4O12 crystal. Values from VASP.

Quantum ESPRESSO input file:
```
&SYSTEM
  ibrav = 0, nat = 36, ntyp = 4
/
ATOMIC_SPECIES
O 16.00 O.upf
Cr 52.00 Cr.upf
P 30.97 P.upf
Li 6.94 Li.upf
ATOMIC_POSITIONS crystal
O 0.2415 0.6564 0.1485
O 0.6294 0.0490 0.2943
O 0.1294 0.9510 0.7057
O 0.4723 0.9453 0.4761
O 0.3447 0.2988 0.4009
O 0.1274 0.2241 0.3755
O 0.9723 0.0547 0.5239
O 0.0946 0.7302 0.4298
O 0.6270 0.8269 0.0117
O 0.4107 0.6404 0.9732
O 0.2963 0.8169 0.4792
O 0.8447 0.7012 0.5991
O 0.7123 0.6074 0.3116
O 0.5946 0.2698 0.5702
O 0.6274 0.7759 0.6245
O 0.2123 0.3926 0.6884
O 0.9107 0.3596 0.0268
O 0.7892 0.0031 0.1274
O 0.8806 0.0094 0.8284
O 0.7963 0.1831 0.5208
O 0.2892 0.9969 0.8726
O 0.3806 0.9906 0.1716
O 0.1270 0.1731 0.9883
O 0.7415 0.3436 0.8515
Cr 0.7213 0.4847 0.5810
Cr 0.2213 0.5153 0.4190
P 0.5869 0.0154 0.4989
P 0.3663 0.0212 0.3832
P 0.3302 0.7914 0.0444
P 0.8302 0.2086 0.9556
P 0.1862 0.1503 0.8221
P 0.0869 0.9846 0.5011
P 0.8663 0.9788 0.6168
P 0.6862 0.8497 0.1779
Li 0.0422 0.3461 0.1258
Li 0.5422 0.6539 0.8742
CELL_PARAMETERS angstrom
-5.5476 12.0953 1.5716
0.5820 -0.4046 5.1679
6.6557 2.9628 0.6921
```

## Properties
total magnetization = 5.948 Bohr magnetons per cell
ΔE to the lowest computed polymorph = 32 meV per atom
crystal system = monoclinic

***

Record 4
VASP calculation (PBE+U) on a relaxed Li4CrP2O8 crystal. Values from VASP.

Quantum ESPRESSO input file:
```
&SYSTEM
  ibrav = 0, nat = 15, ntyp = 4
/
ATOMIC_SPECIES
O 16.00 O.upf
P 30.97 P.upf
Cr 52.00 Cr.upf
Li 6.94 Li.upf
ATOMIC_POSITIONS crystal
O 0.2833 0.1455 0.2819
O 0.7167 0.8545 0.7181
O 0.2859 0.0410 0.7827
O 0.6887 0.3988 0.1535
O 0.3113 0.6012 0.8465
O 0.2707 0.6740 0.4561
O 0.7293 0.3260 0.5439
O 0.7141 0.9590 0.2173
P 0.3991 0.7916 0.6997
P 0.6009 0.2084 0.3003
Cr 0.0000 0.0000 0.0000
Li 0.5780 0.3431 0.8299
Li 0.4220 0.6569 0.1701
Li 0.1300 0.3054 0.5655
Li 0.8700 0.6946 0.4345
CELL_PARAMETERS angstrom
-2.9021 -0.9716 3.9184
1.0831 -5.2529 -1.4798
4.9507 1.3697 3.3069
```

## Properties
total magnetization = 4.000 Bohr magnetons per cell
calculated total energy = -99.5 eV for the cell shown
crystal system = triclinic

***

Record 5
VASP calculation (PBE+U) on a relaxed LiCr2P2O8 crystal. Values from VASP.

Quantum ESPRESSO input file:
```
&SYSTEM
  ibrav = 0, nat = 26, ntyp = 4
/
ATOMIC_SPECIES
Cr 52.00 Cr.upf
O 16.00 O.upf
P 30.97 P.upf
Li 6.94 Li.upf
ATOMIC_POSITIONS crystal
Cr 0.2516 0.2579 0.0017
Cr 0.7484 0.2579 0.5017
Cr 0.7484 0.7421 0.5017
Cr 0.2516 0.7421 0.0017
O 0.5300 0.5000 0.6227
O 0.1986 0.5000 0.8570
O 0.5738 0.1922 0.8755
O 0.0892 0.6962 0.6244
O 0.9784 0.0000 0.3722
O 0.4262 0.1922 0.3755
O 0.4700 0.5000 0.1227
O 0.0216 0.0000 0.8722
O 0.5738 0.8078 0.8755
O 0.4262 0.8078 0.3755
O 0.3099 0.0000 0.1416
O 0.9108 0.3038 0.1244
O 0.9108 0.6962 0.1244
O 0.0892 0.3038 0.6244
O 0.6901 0.0000 0.6416
O 0.8014 0.5000 0.3570
P 0.2288 0.5000 0.6794
P 0.7712 0.5000 0.1794
P 0.7141 0.0000 0.8223
P 0.2859 0.0000 0.3223
Li 0.7940 0.0000 0.1648
Li 0.2060 0.0000 0.6648
CELL_PARAMETERS angstrom
4.9084 0.0000 0.0000
0.0000 6.6163 0.0000
0.0000 0.0000 8.8590
```

## Properties
total magnetization = 14.000 Bohr magnetons per cell
ΔE to the lowest computed polymorph = 0 meV per atom
crystal system = orthorhombic

***

Record 6
VASP calculation (PBE+U) on a relaxed LiCrP2O7 crystal. Values from VASP.

Quantum ESPRESSO input file:
```
&SYSTEM
  ibrav = 0, nat = 11, ntyp = 4
/
ATOMIC_SPECIES
P 30.97 P.upf
Li 6.94 Li.upf
O 16.00 O.upf
Cr 52.00 Cr.upf
ATOMIC_POSITIONS crystal
P 0.6683 0.7472 0.5897
P 0.2528 0.3317 0.4103
Li 0.7490 0.2510 0.0000
O 0.5298 0.4702 0.5000
O 0.0719 0.1853 0.7148
O 0.8491 0.6531 0.8004
O 0.3469 0.1509 0.1996
O 0.1264 0.5359 0.2568
O 0.8147 0.9281 0.2852
O 0.4641 0.8736 0.7432
Cr 0.1219 0.8781 0.0000
CELL_PARAMETERS angstrom
5.2445 -0.0039 -0.0014
-1.1335 5.1206 -0.0014
0.6600 0.8214 4.3951
```

## Properties
total magnetization = 3.000 Bohr magnetons per cell
ΔE to the lowest computed polymorph = 18 meV per atom
crystal system = monoclinic

***

Record 7
VASP calculation (PBE+U) on a relaxed Li2CrSnP2O8 crystal. Values from VASP.

Quantum ESPRESSO input file:
```
&SYSTEM
  ibrav = 0, nat = 28, ntyp = 5
/
ATOMIC_SPECIES
O 16.00 O.upf
Cr 52.00 Cr.upf
Li 6.94 Li.upf
Sn 118.71 Sn.upf
P 30.97 P.upf
ATOMIC_POSITIONS crystal
O 0.5620 0.2848 0.6672
O 0.4380 0.7152 0.3328
O 0.7500 0.2521 0.4692
O 0.7500 0.8334 0.6281
O 0.2500 0.6958 0.0551
O 0.7500 0.7325 0.0745
O 0.9380 0.2848 0.6672
O 0.0610 0.7160 0.8538
O 0.7500 0.3042 0.9449
O 0.5610 0.2840 0.1462
O 0.0620 0.7152 0.3328
O 0.4390 0.7160 0.8538
O 0.2500 0.1666 0.3719
O 0.9390 0.2840 0.1462
O 0.2500 0.2675 0.9255
O 0.2500 0.7479 0.5308
Cr 0.7500 0.5809 0.7926
Cr 0.2500 0.4191 0.2074
Li 0.5000 0.0000 0.0000
Li 0.0000 0.0000 0.0000
Li 0.5000 0.5000 0.5000
Li 0.0000 0.5000 0.5000
Sn 0.2500 0.0390 0.7141
Sn 0.7500 0.9610 0.2859
P 0.2500 0.5841 0.9226
P 0.7500 0.1496 0.6085
P 0.2500 0.8504 0.3915
P 0.7500 0.4159 0.0774
CELL_PARAMETERS angstrom
-0.0768 -4.9206 4.4529
-1.7051 -3.0477 -3.3972
9.9210 -3.0141 -3.1596
```

## Properties
total magnetization = 7.993 Bohr magnetons per cell
calculated total energy = -189.6 eV for the cell shown
crystal system = monoclinic

***

Record 8
VASP calculation (PBE+U) on a relaxed Li2TiCrP3O12 crystal. Values from VASP.

Quantum ESPRESSO input file:
```
&SYSTEM
  ibrav = 0, nat = 76, ntyp = 5
/
ATOMIC_SPECIES
O 16.00 O.upf
Li 6.94 Li.upf
Ti 47.87 Ti.upf
P 30.97 P.upf
Cr 52.00 Cr.upf
ATOMIC_POSITIONS crystal
O 0.1377 0.6259 0.4400
O 0.5094 0.5949 0.2232
O 0.9906 0.5949 0.7232
O 0.0116 0.9300 0.2352
O 0.1130 0.2233 0.8492
O 0.8586 0.5261 0.9213
O 0.5992 0.0830 0.8424
O 0.9326 0.1773 0.4737
O 0.3586 0.4739 0.5787
O 0.0992 0.9170 0.6576
O 0.0094 0.4051 0.2768
O 0.2679 0.0062 0.8242
O 0.8337 0.5515 0.0860
O 0.6130 0.7767 0.6508
O 0.0674 0.8227 0.5263
O 0.6663 0.5515 0.5860
O 0.4008 0.9170 0.1576
O 0.4518 0.8680 0.4639
O 0.1414 0.4739 0.0787
O 0.2736 0.6696 0.6747
O 0.2321 0.0062 0.3242
O 0.1616 0.2691 0.5765
O 0.9008 0.0830 0.3424
O 0.4906 0.4051 0.7768
O 0.8623 0.3741 0.5600
O 0.8870 0.7767 0.1508
O 0.6377 0.3741 0.0600
O 0.3337 0.4485 0.4140
O 0.0482 0.8680 0.9639
O 0.6414 0.5261 0.4213
O 0.5674 0.1773 0.9737
O 0.9884 0.0700 0.7648
O 0.7736 0.3304 0.8253
O 0.3623 0.6259 0.9400
O 0.6616 0.7309 0.9235
O 0.3870 0.2233 0.3492
O 0.1663 0.4485 0.9140
O 0.7321 0.9938 0.1758
O 0.2264 0.6696 0.1747
O 0.4884 0.9300 0.7352
O 0.8384 0.7309 0.4235
O 0.5482 0.1320 0.5361
O 0.7264 0.3304 0.3253
O 0.9518 0.1320 0.0361
O 0.7679 0.9938 0.6758
O 0.5116 0.0700 0.2648
O 0.3384 0.2691 0.0765
O 0.4326 0.8227 0.0263
Li 0.2180 0.0320 0.1804
Li 0.2790 0.4057 0.8140
Li 0.7790 0.5943 0.6860
Li 0.2820 0.0320 0.6804
Li 0.2210 0.4057 0.3140
Li 0.7210 0.5943 0.1860
Li 0.7820 0.9680 0.8196
Li 0.7180 0.9680 0.3196
Ti 0.4613 0.8563 0.8896
Ti 0.0387 0.8563 0.3896
Ti 0.9613 0.1437 0.6104
Ti 0.5387 0.1437 0.1104
P 0.1090 0.7490 0.6466
P 0.8955 0.9603 0.1459
P 0.7533 0.5413 0.9971
P 0.6045 0.9603 0.6459
P 0.1045 0.0397 0.8541
P 0.8910 0.2510 0.3534
P 0.3955 0.0397 0.3541
P 0.6090 0.2510 0.8534
P 0.2533 0.4587 0.5029
P 0.2467 0.4587 0.0029
P 0.3910 0.7490 0.1466
P 0.7467 0.5413 0.4971
Cr 0.0316 0.6338 0.1137
Cr 0.4684 0.6338 0.6137
Cr 0.5316 0.3662 0.3863
Cr 0.9684 0.3662 0.8863
CELL_PARAMETERS angstrom
-5.1379 6.9072 -1.3534
-6.9213 -5.1344 0.0709
-7.9162 -3.5258 12.0583
```

## Properties
total magnetization = 11.934 Bohr magnetons per cell
calculated total energy = -562.5 eV for the cell shown
crystal system = monoclinic

***

Record 9
VASP calculation (PBE+U) on a relaxed Li2TiCrP3O12 crystal. Values from VASP.

Quantum ESPRESSO input file:
```
&SYSTEM
  ibrav = 0, nat = 76, ntyp = 5
/
ATOMIC_SPECIES
O 16.00 O.upf
P 30.97 P.upf
Li 6.94 Li.upf
Ti 47.87 Ti.upf
Cr 52.00 Cr.upf
ATOMIC_POSITIONS crystal
O 0.6084 0.6585 0.5848
O 0.3216 0.8931 0.3455
O 0.3147 0.6446 0.0677
O 0.9244 0.9852 0.7727
O 0.5968 0.9363 0.0298
O 0.1739 0.1049 0.6553
O 0.9085 0.2260 0.1753
O 0.9110 0.0603 0.9711
O 0.8216 0.6069 0.8455
O 0.3036 0.8649 0.9281
O 0.6853 0.3554 0.5677
O 0.3261 0.6049 0.6553
O 0.5915 0.7260 0.1753
O 0.0756 0.4920 0.7281
O 0.9244 0.5080 0.2281
O 0.0890 0.9397 0.4711
O 0.6784 0.1069 0.8455
O 0.4244 0.9920 0.7281
O 0.1084 0.8415 0.0848
O 0.9032 0.4363 0.0298
O 0.5980 0.8328 0.4237
O 0.8916 0.1585 0.5848
O 0.0756 0.0148 0.2727
O 0.1853 0.1446 0.0677
O 0.4032 0.0637 0.5298
O 0.9020 0.3328 0.4237
O 0.4110 0.4397 0.4711
O 0.0980 0.6672 0.9237
O 0.5890 0.5603 0.9711
O 0.6964 0.1351 0.4281
O 0.8147 0.8554 0.5677
O 0.9173 0.2673 0.8227
O 0.4244 0.5148 0.2727
O 0.8036 0.6351 0.4281
O 0.4020 0.1672 0.9237
O 0.1784 0.3931 0.3455
O 0.4173 0.2327 0.3227
O 0.0827 0.7327 0.3227
O 0.5756 0.0080 0.2281
O 0.8261 0.8951 0.1553
O 0.4085 0.2740 0.6753
O 0.0915 0.7740 0.6753
O 0.0968 0.5637 0.5298
O 0.5756 0.4852 0.7727
O 0.3916 0.3415 0.0848
O 0.1964 0.3649 0.9281
O 0.5827 0.7673 0.8227
O 0.6739 0.3951 0.1553
P 0.2116 0.7545 0.9985
P 0.6460 0.8926 0.1454
P 0.1460 0.6074 0.6454
P 0.1439 0.8930 0.3528
P 0.3540 0.1074 0.6454
P 0.7884 0.2455 0.4985
P 0.7116 0.7455 0.4985
P 0.2884 0.2545 0.9985
P 0.3561 0.3930 0.3528
P 0.8540 0.3926 0.1454
P 0.6439 0.6070 0.8528
P 0.8561 0.1070 0.8528
Li 0.5325 0.2764 0.8174
Li 0.4675 0.7236 0.3174
Li 0.0348 0.2827 0.6832
Li 0.9675 0.7764 0.8174
Li 0.5348 0.2173 0.1832
Li 0.0325 0.2236 0.3174
Li 0.4652 0.7827 0.6832
Li 0.9652 0.7173 0.1832
Ti 0.9964 0.9627 0.6112
Ti 0.5036 0.4627 0.6112
Ti 0.4964 0.5373 0.1112
Ti 0.0036 0.0373 0.1112
Cr 0.5019 0.0342 0.3868
Cr 0.4981 0.9658 0.8868
Cr 0.0019 0.4658 0.8868
Cr 0.9981 0.5342 0.3868
CELL_PARAMETERS angstrom
8.6289 0.0000 0.0000
0.0000 8.7213 0.0000
0.0000 0.0000 12.1269
```

## Properties
total magnetization = 11.912 Bohr magnetons per cell
calculated total energy = -562.3 eV for the cell shown
crystal system = orthorhombic